First-principles (PBEsol) data for PdS2BrCl after structural relaxation, as listed in Alexandria via LeMat-Bulk.

a b c (Å): 4.658 4.658 4.696
angles (deg): 90.00 90.00 90.00
Element x y z (fractional)
Pd: 0.000 0.000 0.000
S: 0.500 0.000 0.000
S: 0.000 0.500 0.000
Br: 0.500 0.500 0.500
Cl: 0.000 0.000 0.500

Output
As for the space-group type: P4/mmm. For the total energy, the calculation gives -16.7 eV for the cell shown. As for the formation energy (no corrections): 0.390 eV per atom. The value obtained for the volume is 101.9 Å³/cell.